Entry 1:
A plane-wave DFT calculation with PBE was carried out for a relaxed structure of PrBeCo.

Cell lengths 6.027, 6.027, 6.027 Å; angles 90.00, 90.00, 90.00 degrees
Sites, in units of the cell vectors:
Pr1 0.000 0.000 0.000
Pr2 0.000 0.500 0.500
Pr3 0.500 0.000 0.500
Pr4 0.500 0.500 0.000
Be1 0.250 0.250 0.750
Be2 0.250 0.750 0.250
Be3 0.750 0.250 0.250
Be4 0.750 0.750 0.750
Co1 0.000 0.000 0.500
Co2 0.000 0.500 0.000
Co3 0.500 0.000 0.000
Co4 0.500 0.500 0.500

ΔE to the lowest computed polymorph	0.099	eV/atom


Entry 2:
A plane-wave DFT calculation with PBE was carried out for a relaxed structure of PrBeCo.

Cell lengths 6.150, 6.150, 6.150 Å; angles 90.00, 90.00, 90.00 degrees
Sites, in units of the cell vectors:
Pr1 0.000 0.000 0.000
Pr2 0.000 0.500 0.500
Pr3 0.500 0.000 0.500
Pr4 0.500 0.500 0.000
Be1 0.000 0.000 0.500
Be2 0.000 0.500 0.000
Be3 0.500 0.000 0.000
Be4 0.500 0.500 0.500
Co1 0.250 0.250 0.750
Co2 0.250 0.750 0.250
Co3 0.750 0.250 0.250
Co4 0.750 0.750 0.750

ΔE to the lowest computed polymorph	0.000	eV/atom


Entry 3:
A plane-wave DFT calculation with PBE was carried out for a relaxed structure of BeCo2Pt.

Cell lengths 5.677, 5.677, 5.677 Å; angles 90.00, 90.00, 90.00 degrees
Sites, in units of the cell vectors:
Be1 0.000 0.000 0.000
Be2 0.000 0.500 0.500
Be3 0.500 0.000 0.500
Be4 0.500 0.500 0.000
Co1 0.000 0.000 0.500
Co2 0.000 0.500 0.000
Co3 0.250 0.250 0.750
Co4 0.250 0.750 0.250
Co5 0.500 0.000 0.000
Co6 0.500 0.500 0.500
Co7 0.750 0.250 0.250
Co8 0.750 0.750 0.750
Pt1 0.250 0.250 0.250
Pt2 0.250 0.750 0.750
Pt3 0.750 0.250 0.750
Pt4 0.750 0.750 0.250

E	-6.152	eV per atom


Entry 4:
A plane-wave DFT calculation with PBE was carried out for a relaxed structure of BeCo2Pt.

Cell lengths 2.623, 3.934, 4.488 Å; angles 90.00, 90.00, 90.00 degrees
Sites, in units of the cell vectors:
Be1 0.000 0.000 0.000
Co1 0.500 0.000 0.560
Co2 0.500 0.500 0.827
Pt1 0.000 0.500 0.315

E	-6.108	eV per atom


Entry 5:
A plane-wave DFT calculation with PBE was carried out for a relaxed structure of BeCoPt.

Cell lengths 5.275, 5.275, 5.275 Å; angles 90.00, 90.00, 90.00 degrees
Sites, in units of the cell vectors:
Be1 0.000 0.000 0.000
Be2 0.000 0.500 0.500
Be3 0.500 0.000 0.500
Be4 0.500 0.500 0.000
Co1 0.250 0.250 0.750
Co2 0.250 0.750 0.250
Co3 0.750 0.250 0.250
Co4 0.750 0.750 0.750
Pt1 0.250 0.250 0.250
Pt2 0.250 0.750 0.750
Pt3 0.750 0.250 0.750
Pt4 0.750 0.750 0.250

ΔE to the lowest computed polymorph	0.000	eV/atom


Entry 6:
A plane-wave DFT calculation with PBE was carried out for a relaxed structure of RbBeCoTe.

Cell lengths 6.861, 6.861, 6.861 Å; angles 90.00, 90.00, 90.00 degrees
Sites, in units of the cell vectors:
Rb1 0.000 0.000 0.000
Rb2 0.000 0.500 0.500
Rb3 0.500 0.000 0.500
Rb4 0.500 0.500 0.000
Be1 0.250 0.250 0.750
Be2 0.250 0.750 0.250
Be3 0.750 0.250 0.250
Be4 0.750 0.750 0.750
Co1 0.250 0.250 0.250
Co2 0.250 0.750 0.750
Co3 0.750 0.250 0.750
Co4 0.750 0.750 0.250
Te1 0.000 0.000 0.500
Te2 0.000 0.500 0.000
Te3 0.500 0.000 0.000
Te4 0.500 0.500 0.500

ΔE to the lowest computed polymorph	0.000	eV/atom


Entry 7:
A plane-wave DFT calculation with PBE was carried out for a relaxed structure of RbBeCoTe3.

Cell lengths 8.346, 8.346, 10.404 Å; angles 90.00, 90.00, 152.78 degrees
Sites, in units of the cell vectors:
Rb1 0.247 0.753 0.750
Rb2 0.753 0.247 0.250
Be1 0.466 0.534 0.250
Be2 0.534 0.466 0.750
Co1 0.000 0.000 0.000
Co2 0.000 0.000 0.500
Te1 0.057 0.943 0.250
Te2 0.398 0.602 0.043
Te3 0.398 0.602 0.457
Te4 0.602 0.398 0.543
Te5 0.602 0.398 0.957
Te6 0.943 0.057 0.750

E	-3.870	eV per atom


Entry 8:
A plane-wave DFT calculation with PBE was carried out for a relaxed structure of RbBeCoTe.

Cell lengths 7.298, 7.298, 7.298 Å; angles 90.00, 90.00, 90.00 degrees
Sites, in units of the cell vectors:
Rb1 0.000 0.000 0.000
Rb2 0.000 0.500 0.500
Rb3 0.500 0.000 0.500
Rb4 0.500 0.500 0.000
Be1 0.000 0.000 0.500
Be2 0.000 0.500 0.000
Be3 0.500 0.000 0.000
Be4 0.500 0.500 0.500
Co1 0.250 0.250 0.750
Co2 0.250 0.750 0.250
Co3 0.750 0.250 0.250
Co4 0.750 0.750 0.750
Te1 0.250 0.250 0.250
Te2 0.250 0.750 0.750
Te3 0.750 0.250 0.750
Te4 0.750 0.750 0.250

ΔE to the lowest computed polymorph	0.263	eV/atom


Copy entry 6 word for word.
A plane-wave DFT calculation with PBE was carried out for a relaxed structure of RbBeCoTe.

Cell lengths 6.861, 6.861, 6.861 Å; angles 90.00, 90.00, 90.00 degrees
Sites, in units of the cell vectors:
Rb1 0.000 0.000 0.000
Rb2 0.000 0.500 0.500
Rb3 0.500 0.000 0.500
Rb4 0.500 0.500 0.000
Be1 0.250 0.250 0.750
Be2 0.250 0.750 0.250
Be3 0.750 0.250 0.250
Be4 0.750 0.750 0.750
Co1 0.250 0.250 0.250
Co2 0.250 0.750 0.750
Co3 0.750 0.250 0.750
Co4 0.750 0.750 0.250
Te1 0.000 0.000 0.500
Te2 0.000 0.500 0.000
Te3 0.500 0.000 0.000
Te4 0.500 0.500 0.500

ΔE to the lowest computed polymorph	0.000	eV/atom